Record 1
VASP calculation (PBE) on a relaxed RbTl2TeO4 crystal.

a = 10.4468 Å, b = 9.9399 Å, c = 7.3622 Å
α = 90.00°, β = 128.71°, γ = 90.00°
Space group C2/c (No. 15)
Asymmetric unit:
Rb 0.0000 0.0000 0.0000 [4 per cell]
Tl 0.0000 0.5000 0.0000 [4 per cell]
Tl 0.2500 0.2500 0.0000 [4 per cell]
Te 0.2500 0.2500 0.5000 [4 per cell]
O 0.0559 0.2720 0.5270 [8 per cell]
O 0.1936 0.4671 0.4004 [8 per cell]

Summary:
- E_tot (eV for the cell shown) = -137.82


Record 2
VASP calculation (PBE) on a relaxed Rb3TlTe2O8 crystal.

a = 6.5681 Å, b = 6.5681 Å, c = 8.3569 Å
α = 90.00°, β = 90.00°, γ = 120.00°
Space group P-3m1 (No. 164)
Asymmetric unit:
Rb 0.0000 0.0000 0.0000 [1 per cell]
Rb 0.3333 0.6667 0.6651 [2 per cell]
Tl 0.0000 0.0000 0.5000 [1 per cell]
Te 0.3333 0.6667 0.2045 [2 per cell]
O 0.1815 0.3629 0.2865 [6 per cell]
O 0.3333 0.6667 0.9849 [2 per cell]

Summary:
- E_tot (eV for the cell shown) = -68.78


Record 3
VASP calculation (PBE) on a relaxed RbTlTeO6 crystal.

a = 5.6530 Å, b = 5.6530 Å, c = 6.2691 Å
α = 90.00°, β = 90.00°, γ = 120.00°
Space group P312 (No. 149)
Asymmetric unit:
Rb 0.0000 0.0000 0.0000 [1 per cell]
Tl 0.3333 0.6667 0.5000 [1 per cell]
Te 0.6667 0.3333 0.5000 [1 per cell]
O 0.4043 0.0391 0.6826 [6 per cell]

Summary:
- E_tot (eV for the cell shown) = -43.11


Calculated ΔE_f (raw), -723 -1254 -765 meV per atom (same order as the records).